{
  "formula": "Ti2FeHI",
  "functional": "PBE",
  "state": "optimized geometry",
  "cell": [[-0.112, -2.989, -2.352], [1.987, -2.730, 3.376], [-3.458, -0.900, 1.308]],
  "species": ["Fe", "Ti", "Ti", "H", "I"],
  "frac_coords": [[0.500, 0.500, 0.500], [0.000, 0.000, 0.500], [0.500, 0.000, 0.000], [0.000, 0.000, 0.000], [0.000, 0.500, 0.000]],
  "energy_ev_per_atom": -5.436,
  "dos_ef_per_ev_atom": 0.894,
  "vol_a3_per_cell": 69.1,
  "total_magnetization_mub_per_atom": 0.000
}